A geometry-optimized Li2GdTm structure, computed with GGA-PBE.

Calculated values
DOS(E_F) (states/eV per atom): 1.295
Formation enthalpy at 0 K (eV per atom): 0.15

abc: 5.2250 5.2250 5.2250
angles: 60.00 60.00 60.00
With the nearest neighbours (Å) after each atom.
Fractional coordinates of all 4 atoms:
Li 0.2500 0.2500 0.2500  4 Tm 3.20, 4 Gd 3.20
Li 0.7500 0.7500 0.7500  4 Gd 3.20, 4 Tm 3.20
Gd 0.0000 0.0000 0.0000  8 Li 3.20
Tm 0.5000 0.5000 0.5000  8 Li 3.20